PmDyGe3 (PBE-GGA, relaxed); magnetic moment = 0.00 Bohr magnetons per cell; ΔH_f (0 K) = -0.694 eV/atom; E = -5.335 eV/atom; D(E_F) = 0.520 states/eV per atom
1.0
4.009 0.000 0.000
0.000 4.217 0.000
0.000 -2.109 13.563
Ge Pm Dy
6 2 2
Direct
0.750 0.313 0.626
0.250 0.376 0.752
0.750 0.624 0.248
0.750 0.529 0.058
0.250 0.687 0.374
0.250 0.471 0.942
0.250 0.073 0.147
0.750 0.927 0.853
0.750 0.204 0.408
0.250 0.796 0.592